MnBeCrNi: relaxed, PBE-GGA.

```
MnBeCrNi
1.0
0.0000 2.7562 2.7562
2.7562 0.0000 2.7562
2.7562 2.7562 0.0000
Mn Be Cr Ni
1 1 1 1
Direct
0.0000 0.0000 0.0000
0.2500 0.2500 0.2500
0.7500 0.7500 0.7500
0.5000 0.5000 0.5000
```

energy of formation from the pure elements = -0.18 eV per formula unit
total moment = 0.9 μB/f.u.
total energy = -28.5 eV per cell

---

VCrSb3: relaxed, PBE-GGA.

```
VCrSb3
1.0
5.1156 0.0000 0.0000
0.0000 5.1156 0.0000
0.0000 0.0000 5.1156
V Cr Sb
1 1 3
Direct
0.0000 0.0000 0.0000
0.5000 0.5000 0.5000
0.0000 0.0000 0.5000
0.0000 0.5000 0.0000
0.5000 0.0000 0.0000
```

total moment = 4.7 μB/f.u.
total energy = -28.0 eV per cell
raw formation energy = 0.62 eV per atom

---

SrSb: relaxed, PBE-GGA.

```
SrSb
1.0
-6.9216 6.9216 2.1278
6.9216 -6.9216 2.1278
6.9216 6.9216 -2.1278
Sr Sb
4 4
Direct
0.0574 0.3126 0.3700
0.3126 0.9426 0.2552
0.6874 0.0574 0.7448
0.9426 0.6874 0.6300
0.1713 0.7471 0.9184
0.2529 0.1713 0.4242
0.7471 0.8287 0.5758
0.8287 0.2529 0.0816
```

total moment = 0.0 μB/f.u.
total energy = -26.3 eV per cell
raw formation energy = -0.38 eV per atom

---

Sr2HgGeOs: relaxed, PBE-GGA.

```
Sr2HgGeOs
1.0
5.9412 0.0000 0.0000
0.0000 5.9412 0.0000
0.0000 0.0000 5.0059
Sr Hg Ge Os
2 1 1 1
Direct
0.0000 0.5000 0.0000
0.5000 0.0000 0.0000
0.0000 0.0000 0.0000
0.5000 0.5000 0.5000
0.0000 0.0000 0.5000
```

energy of formation from the pure elements = 4.38 eV per formula unit
total moment = 0.8 μB/f.u.
total energy = -15.1 eV per cell